MgCo2PbF8 | GGA+U | relaxed

Cell and atoms, written as extended XYZ:
```
12
Lattice="4.941 0.063 0.000 0.119 4.970 -0.002 -0.003 0.000 6.775" Properties=species:S:1:pos:R:3 pbc="T T T"
F 1.090 3.933 5.354
F 3.967 1.101 1.419
Co 2.528 2.517 5.194
F 1.532 1.499 6.774
F 3.525 3.535 -0.001
F 1.737 1.631 3.386
Co 2.529 2.517 1.579
F 3.320 3.403 3.387
Mg 0.000 0.000 0.000
F 3.962 1.097 5.356
F 1.095 3.937 1.417
Pb -0.001 0.000 3.387
```

## Properties
Theoretical density in g/cm³: 5.0
Uncorrected energy in eV per cell: -60.4
Total moment in μB per formula unit: 6.01